A plane-wave DFT calculation with PBEsol was carried out for Cr3Cu2O12 after structural relaxation.

Cell and atoms, written as CIF:
```
data_Cr3Cu2O12
_chemical_formula_sum 'Cr12 Cu8 O48'
_cell_length_a 8.450
_cell_length_b 8.838
_cell_length_c 11.861
_cell_angle_alpha 90.00
_cell_angle_beta 90.97
_cell_angle_gamma 90.00
_symmetry_space_group_name_H-M 'P 1'
_symmetry_Int_Tables_number 1
_symmetry_space_group_name_Hall 'P 1'
loop_
_atom_site_label
_atom_site_type_symbol
_atom_site_fract_x
_atom_site_fract_y
_atom_site_fract_z
O1 O 0.424 0.623 0.049
O2 O 0.877 0.997 0.753
O3 O 0.310 0.330 0.067
O4 O 0.158 0.711 0.188
O5 O 0.377 0.503 0.253
O6 O 0.658 0.789 0.688
O7 O 0.690 0.670 0.933
O8 O 0.626 0.924 0.482
O9 O 0.911 0.375 0.418
O10 O 0.924 0.877 0.549
O11 O 0.764 0.072 0.957
O12 O 0.932 0.670 0.380
O13 O 0.076 0.123 0.451
O14 O 0.924 0.579 0.807
O15 O 0.115 0.813 0.838
O16 O 0.123 0.003 0.247
O17 O 0.432 0.830 0.880
O18 O 0.385 0.313 0.662
O19 O 0.842 0.289 0.812
O20 O 0.576 0.079 0.693
O21 O 0.623 0.497 0.747
O22 O 0.924 0.882 0.095
O23 O 0.076 0.118 0.905
O24 O 0.589 0.875 0.082
O25 O 0.190 0.830 0.433
O26 O 0.068 0.330 0.620
O27 O 0.236 0.928 0.043
O28 O 0.763 0.463 0.227
O29 O 0.424 0.618 0.595
O30 O 0.237 0.537 0.773
O31 O 0.089 0.625 0.582
O32 O 0.736 0.572 0.543
O33 O 0.568 0.170 0.120
O34 O 0.424 0.921 0.307
O35 O 0.076 0.421 0.193
O36 O 0.576 0.382 0.405
O37 O 0.342 0.211 0.312
O38 O 0.374 0.076 0.518
O39 O 0.874 0.424 0.018
O40 O 0.126 0.576 0.982
O41 O 0.810 0.170 0.567
O42 O 0.885 0.187 0.162
O43 O 0.737 0.963 0.273
O44 O 0.615 0.687 0.338
O45 O 0.263 0.037 0.727
O46 O 0.411 0.125 0.918
O47 O 0.264 0.428 0.457
O48 O 0.576 0.377 0.951
Cu1 Cu 0.254 0.972 0.885
Cu2 Cu 0.246 0.472 0.615
Cu3 Cu 0.255 0.030 0.381
Cu4 Cu 0.755 0.470 0.881
Cu5 Cu 0.746 0.028 0.115
Cu6 Cu 0.754 0.528 0.385
Cu7 Cu 0.745 0.970 0.619
Cu8 Cu 0.245 0.530 0.119
Cr1 Cr 0.104 0.626 0.850
Cr2 Cr 0.396 0.126 0.650
Cr3 Cr 0.391 0.381 0.358
Cr4 Cr 0.032 0.750 0.486
Cr5 Cr 0.109 0.881 0.142
Cr6 Cr 0.891 0.119 0.858
Cr7 Cr 0.968 0.250 0.514
Cr8 Cr 0.896 0.374 0.150
Cr9 Cr 0.609 0.619 0.642
Cr10 Cr 0.532 0.750 0.986
Cr11 Cr 0.468 0.250 0.014
Cr12 Cr 0.604 0.874 0.350
```

A plane-wave DFT calculation with PBEsol was carried out for Cr2Cu5P4O18 after structural relaxation.

Cell and atoms, written as CIF:
```
data_Cr2Cu5P4O18
_chemical_formula_sum 'Cr2 Cu5 P4 O18'
_cell_length_a 6.325
_cell_length_b 7.186
_cell_length_c 8.249
_cell_angle_alpha 109.17
_cell_angle_beta 90.00
_cell_angle_gamma 116.11
_symmetry_space_group_name_H-M 'P 1'
_symmetry_Int_Tables_number 1
_symmetry_space_group_name_Hall 'P 1'
loop_
_atom_site_label
_atom_site_type_symbol
_atom_site_fract_x
_atom_site_fract_y
_atom_site_fract_z
P1 P 0.127 0.255 0.909
P2 P 0.873 0.745 0.091
P3 P 0.658 0.315 0.597
P4 P 0.342 0.685 0.403
O1 O 0.637 0.274 0.768
O2 O 0.406 0.222 0.495
O3 O 0.816 0.222 0.495
O4 O 0.184 0.778 0.505
O5 O 0.765 0.530 0.127
O6 O 0.024 0.049 0.739
O7 O 0.078 0.767 0.981
O8 O 0.690 0.767 0.981
O9 O 0.449 0.898 0.842
O10 O 0.213 0.427 0.359
O11 O 0.976 0.951 0.261
O12 O 0.787 0.573 0.641
O13 O 0.922 0.233 0.019
O14 O 0.551 0.102 0.158
O15 O 0.594 0.778 0.505
O16 O 0.235 0.470 0.873
O17 O 0.310 0.233 0.019
O18 O 0.363 0.726 0.232
Cu1 Cu 0.877 0.243 0.270
Cu2 Cu 0.367 0.243 0.270
Cu3 Cu 0.000 0.000 0.500
Cu4 Cu 0.123 0.757 0.730
Cu5 Cu 0.633 0.757 0.730
Cr1 Cr 0.607 0.215 0.972
Cr2 Cr 0.393 0.785 0.028
```

A plane-wave DFT calculation with PBEsol was carried out for CrCu3P4O16 after structural relaxation.

Cell and atoms, written as CIF:
```
data_CrCu3P4O16
_chemical_formula_sum 'Cr1 Cu3 P4 O16'
_cell_length_a 4.734
_cell_length_b 5.739
_cell_length_c 9.647
_cell_angle_alpha 90.00
_cell_angle_beta 91.43
_cell_angle_gamma 90.00
_symmetry_space_group_name_H-M 'P 1'
_symmetry_Int_Tables_number 1
_symmetry_space_group_name_Hall 'P 1'
loop_
_atom_site_label
_atom_site_type_symbol
_atom_site_fract_x
_atom_site_fract_y
_atom_site_fract_z
O1 O 0.340 0.000 0.060
O2 O 0.784 0.719 0.667
O3 O 0.172 0.000 0.566
O4 O 0.271 0.500 0.114
O5 O 0.753 0.706 0.169
O6 O 0.753 0.294 0.169
O7 O 0.221 0.200 0.828
O8 O 0.642 0.500 0.940
O9 O 0.236 0.500 0.611
O10 O 0.787 0.000 0.390
O11 O 0.260 0.790 0.338
O12 O 0.826 0.500 0.439
O13 O 0.706 0.000 0.873
O14 O 0.260 0.210 0.338
O15 O 0.784 0.281 0.667
O16 O 0.221 0.800 0.828
Cr1 Cr 0.952 0.000 0.720
Cu1 Cu 0.568 0.000 0.224
Cu2 Cu 0.401 0.500 0.786
Cu3 Cu 0.054 0.500 0.277
P1 P 0.394 0.000 0.906
P2 P 0.916 0.500 0.590
P3 P 0.109 0.000 0.405
P4 P 0.589 0.500 0.096
```

A plane-wave DFT calculation with PBEsol was carried out for V3Cr2CuP6O24 after structural relaxation.

Cell and atoms, written as CIF:
```
data_V3Cr2CuP6O24
_chemical_formula_sum 'V3 Cr2 Cu1 P6 O24'
_cell_length_a 8.267
_cell_length_b 8.267
_cell_length_c 8.267
_cell_angle_alpha 62.07
_cell_angle_beta 62.07
_cell_angle_gamma 62.07
_symmetry_space_group_name_H-M 'P 1'
_symmetry_Int_Tables_number 1
_symmetry_space_group_name_Hall 'P 1'
loop_
_atom_site_label
_atom_site_type_symbol
_atom_site_fract_x
_atom_site_fract_y
_atom_site_fract_z
O1 O 0.057 0.245 0.908
O2 O 0.185 0.994 0.381
O3 O 0.743 0.100 0.955
O4 O 0.563 0.408 0.748
O5 O 0.423 0.593 0.254
O6 O 0.341 0.109 0.481
O7 O 0.681 0.885 0.502
O8 O 0.748 0.563 0.408
O9 O 0.502 0.681 0.885
O10 O 0.955 0.743 0.100
O11 O 0.908 0.057 0.245
O12 O 0.481 0.341 0.109
O13 O 0.381 0.185 0.994
O14 O 0.599 0.824 0.027
O15 O 0.109 0.481 0.341
O16 O 0.593 0.254 0.423
O17 O 0.994 0.381 0.185
O18 O 0.824 0.027 0.599
O19 O 0.885 0.502 0.681
O20 O 0.254 0.423 0.593
O21 O 0.408 0.748 0.563
O22 O 0.100 0.955 0.743
O23 O 0.027 0.599 0.824
O24 O 0.245 0.908 0.057
V1 V 0.141 0.141 0.141
V2 V 0.355 0.355 0.355
V3 V 0.644 0.644 0.644
P1 P 0.452 0.753 0.049
P2 P 0.049 0.452 0.753
P3 P 0.753 0.049 0.452
P4 P 0.544 0.252 0.954
P5 P 0.252 0.954 0.544
P6 P 0.954 0.544 0.252
Cr1 Cr 0.997 0.997 0.997
Cr2 Cr 0.498 0.498 0.498
Cu1 Cu 0.852 0.852 0.852
```

A plane-wave DFT calculation with PBEsol was carried out for Cr6CuSi2Pb10O34 after structural relaxation.

Cell and atoms, written as CIF:
```
data_Cr6CuSi2Pb10O34
_chemical_formula_sum 'Cr6 Cu1 Si2 Pb10 O34'
_cell_length_a 9.720
_cell_length_b 9.907
_cell_length_c 9.960
_cell_angle_alpha 64.02
_cell_angle_beta 70.37
_cell_angle_gamma 66.78
_symmetry_space_group_name_H-M 'P 1'
_symmetry_Int_Tables_number 1
_symmetry_space_group_name_Hall 'P 1'
loop_
_atom_site_label
_atom_site_type_symbol
_atom_site_fract_x
_atom_site_fract_y
_atom_site_fract_z
O1 O 0.002 0.481 0.740
O2 O 0.925 0.210 0.872
O3 O 0.385 0.709 0.423
O4 O 0.138 0.728 0.656
O5 O 0.263 0.963 0.516
O6 O 0.778 0.951 0.043
O7 O 0.889 0.730 0.401
O8 O 0.638 0.721 0.141
O9 O 0.356 0.739 0.899
O10 O 0.606 0.943 0.338
O11 O 0.493 0.518 0.787
O12 O 0.615 0.291 0.577
O13 O 0.806 0.431 0.637
O14 O 0.111 0.270 0.599
O15 O 0.442 0.213 0.384
O16 O 0.194 0.569 0.363
O17 O 0.113 0.915 0.368
O18 O 0.892 0.717 0.925
O19 O 0.362 0.279 0.859
O20 O 0.644 0.261 0.101
O21 O 0.639 0.950 0.859
O22 O 0.737 0.037 0.484
O23 O 0.331 0.375 0.137
O24 O 0.361 0.050 0.141
O25 O 0.108 0.283 0.075
O26 O 0.075 0.790 0.128
O27 O 0.394 0.057 0.662
O28 O 0.862 0.272 0.344
O29 O 0.558 0.787 0.616
O30 O 0.669 0.625 0.863
O31 O 0.887 0.085 0.632
O32 O 0.998 0.519 0.260
O33 O 0.222 0.049 0.957
O34 O 0.507 0.482 0.213
Pb1 Pb 0.826 0.025 0.215
Pb2 Pb 0.764 0.464 0.083
Pb3 Pb 0.236 0.536 0.917
Pb4 Pb 0.361 0.745 0.160
Pb5 Pb 0.639 0.255 0.840
Pb6 Pb 0.174 0.975 0.785
Pb7 Pb 0.144 0.243 0.323
Pb8 Pb 0.649 0.667 0.427
Pb9 Pb 0.856 0.757 0.677
Pb10 Pb 0.351 0.333 0.573
Cr1 Cr 0.776 0.172 0.510
Cr2 Cr 0.224 0.828 0.490
Cr3 Cr 0.736 0.838 0.992
Cr4 Cr 0.040 0.648 0.289
Cr5 Cr 0.264 0.162 0.008
Cr6 Cr 0.960 0.352 0.711
Si1 Si 0.519 0.668 0.796
Si2 Si 0.481 0.332 0.204
Cu1 Cu 0.500 0.000 0.500
```

A plane-wave DFT calculation with PBEsol was carried out for Sr3Cr2Cu2S2O5 after structural relaxation.

Cell and atoms, written as CIF:
```
data_Sr3Cr2Cu2S2O5
_chemical_formula_sum 'Sr3 Cr2 Cu2 S2 O5'
_cell_length_a 3.864
_cell_length_b 3.864
_cell_length_c 13.257
_cell_angle_alpha 98.38
_cell_angle_beta 98.38
_cell_angle_gamma 90.00
_symmetry_space_group_name_H-M 'P 1'
_symmetry_Int_Tables_number 1
_symmetry_space_group_name_Hall 'P 1'
loop_
_atom_site_label
_atom_site_type_symbol
_atom_site_fract_x
_atom_site_fract_y
_atom_site_fract_z
Sr1 Sr 0.642 0.642 0.284
Sr2 Sr 0.358 0.358 0.716
Sr3 Sr 0.500 0.500 0.000
Cu1 Cu 0.250 0.750 0.500
Cu2 Cu 0.750 0.250 0.500
Cr1 Cr 0.072 0.072 0.145
Cr2 Cr 0.928 0.928 0.855
O1 O 0.919 0.419 0.837
O2 O 0.000 0.000 0.000
O3 O 0.419 0.919 0.837
O4 O 0.581 0.081 0.163
O5 O 0.081 0.581 0.163
S1 S 0.803 0.803 0.606
S2 S 0.197 0.197 0.394
```

A plane-wave DFT calculation with PBEsol was carried out for Sr2CrCuSO3 after structural relaxation.

Cell and atoms, written as CIF:
```
data_Sr2CrCuSO3
_chemical_formula_sum 'Sr4 Cr2 Cu2 S2 O6'
_cell_length_a 3.860
_cell_length_b 3.860
_cell_length_c 15.295
_cell_angle_alpha 90.00
_cell_angle_beta 90.00
_cell_angle_gamma 90.00
_symmetry_space_group_name_H-M 'P 1'
_symmetry_Int_Tables_number 1
_symmetry_space_group_name_Hall 'P 1'
loop_
_atom_site_label
_atom_site_type_symbol
_atom_site_fract_x
_atom_site_fract_y
_atom_site_fract_z
Sr1 Sr 0.500 0.000 0.589
Sr2 Sr 0.500 0.000 0.817
Sr3 Sr 0.000 0.500 0.411
Sr4 Sr 0.000 0.500 0.183
Cu1 Cu 0.000 0.000 0.000
Cu2 Cu 0.500 0.500 0.000
O1 O 0.500 0.000 0.429
O2 O 0.500 0.500 0.712
O3 O 0.000 0.000 0.288
O4 O 0.000 0.000 0.712
O5 O 0.500 0.500 0.288
O6 O 0.000 0.500 0.571
Cr1 Cr 0.500 0.000 0.307
Cr2 Cr 0.000 0.500 0.693
S1 S 0.500 0.000 0.090
S2 S 0.000 0.500 0.910
```

A plane-wave DFT calculation with PBEsol was carried out for Sr8Tl3CrCu4O20 after structural relaxation.

Cell and atoms, written as CIF:
```
data_Sr8Tl3CrCu4O20
_chemical_formula_sum 'Sr8 Tl3 Cr1 Cu4 O20'
_cell_length_a 3.638
_cell_length_b 11.573
_cell_length_c 11.573
_cell_angle_alpha 99.31
_cell_angle_beta 90.00
_cell_angle_gamma 90.00
_symmetry_space_group_name_H-M 'P 1'
_symmetry_Int_Tables_number 1
_symmetry_space_group_name_Hall 'P 1'
loop_
_atom_site_label
_atom_site_type_symbol
_atom_site_fract_x
_atom_site_fract_y
_atom_site_fract_z
Cu1 Cu 0.000 0.250 0.750
Cu2 Cu 0.000 0.000 0.500
Cu3 Cu 0.000 0.750 0.250
Cu4 Cu 0.000 0.500 0.000
O1 O 0.500 0.238 0.762
O2 O 0.000 0.617 0.383
O3 O 0.000 0.865 0.635
O4 O 0.500 0.626 0.626
O5 O 0.000 0.880 0.369
O6 O 0.500 0.762 0.238
O7 O 0.000 0.135 0.365
O8 O 0.000 0.383 0.617
O9 O 0.000 0.635 0.865
O10 O 0.000 0.120 0.631
O11 O 0.000 0.631 0.120
O12 O 0.500 0.374 0.374
O13 O 0.000 0.097 0.903
O14 O 0.500 0.917 0.917
O15 O 0.500 0.500 0.000
O16 O 0.500 0.083 0.083
O17 O 0.000 0.903 0.097
O18 O 0.000 0.365 0.135
O19 O 0.500 0.000 0.500
O20 O 0.000 0.369 0.880
Tl1 Tl 0.000 0.271 0.271
Tl2 Tl 0.000 0.729 0.729
Tl3 Tl 0.000 0.500 0.500
Sr1 Sr 0.500 0.225 0.527
Sr2 Sr 0.500 0.986 0.267
Sr3 Sr 0.500 0.267 0.986
Sr4 Sr 0.500 0.733 0.014
Sr5 Sr 0.500 0.775 0.473
Sr6 Sr 0.500 0.014 0.733
Sr7 Sr 0.500 0.527 0.225
Sr8 Sr 0.500 0.473 0.775
Cr1 Cr 0.000 0.000 0.000
```

A plane-wave DFT calculation with PBEsol was carried out for Sr2YCrCu2O7 after structural relaxation.

Cell and atoms, written as CIF:
```
data_Sr2YCrCu2O7
_chemical_formula_sum 'Sr4 Y2 Cr2 Cu4 O14'
_cell_length_a 5.408
_cell_length_b 5.512
_cell_length_c 11.946
_cell_angle_alpha 103.26
_cell_angle_beta 103.00
_cell_angle_gamma 90.33
_symmetry_space_group_name_H-M 'P 1'
_symmetry_Int_Tables_number 1
_symmetry_space_group_name_Hall 'P 1'
loop_
_atom_site_label
_atom_site_type_symbol
_atom_site_fract_x
_atom_site_fract_y
_atom_site_fract_z
O1 O 0.364 0.764 0.137
O2 O 0.816 0.323 0.627
O3 O 0.189 0.696 0.373
O4 O 0.227 0.627 0.863
O5 O 0.209 0.194 0.368
O6 O 0.341 0.803 0.632
O7 O 0.709 0.171 0.368
O8 O 0.841 0.826 0.632
O9 O 0.690 0.675 0.374
O10 O 0.715 0.228 0.861
O11 O 0.886 0.886 0.000
O12 O 0.367 0.123 0.000
O13 O 0.316 0.301 0.626
O14 O 0.853 0.367 0.139
Cu1 Cu 0.449 0.936 0.372
Cu2 Cu 0.577 0.062 0.629
Cu3 Cu 0.949 0.433 0.371
Cu4 Cu 0.077 0.564 0.628
Cr1 Cr 0.219 0.822 0.000
Cr2 Cr 0.706 0.177 0.000
Sr1 Sr 0.656 0.629 0.791
Sr2 Sr 0.865 0.837 0.209
Sr3 Sr 0.154 0.160 0.790
Sr4 Sr 0.364 0.370 0.210
Y1 Y 0.012 0.998 0.499
Y2 Y 0.512 0.499 0.501
```

A plane-wave DFT calculation with PBEsol was carried out for V4CrCuO12 after structural relaxation.

Cell and atoms, written as CIF:
```
data_V4CrCuO12
_chemical_formula_sum 'V4 Cr1 Cu1 O12'
_cell_length_a 5.783
_cell_length_b 6.553
_cell_length_c 6.553
_cell_angle_alpha 96.54
_cell_angle_beta 104.61
_cell_angle_gamma 75.39
_symmetry_space_group_name_H-M 'P 1'
_symmetry_Int_Tables_number 1
_symmetry_space_group_name_Hall 'P 1'
loop_
_atom_site_label
_atom_site_type_symbol
_atom_site_fract_x
_atom_site_fract_y
_atom_site_fract_z
O1 O 0.357 0.822 0.030
O2 O 0.069 0.203 0.966
O3 O 0.027 0.906 0.635
O4 O 0.498 0.070 0.386
O5 O 0.502 0.386 0.070
O6 O 0.803 0.627 0.330
O7 O 0.973 0.635 0.906
O8 O 0.691 0.380 0.639
O9 O 0.931 0.966 0.203
O10 O 0.309 0.639 0.380
O11 O 0.197 0.330 0.627
O12 O 0.643 0.030 0.822
V1 V 0.497 0.618 0.198
V2 V 0.015 0.788 0.391
V3 V 0.985 0.391 0.788
V4 V 0.503 0.198 0.618
Cr1 Cr 0.000 0.920 0.920
Cu1 Cu 0.500 0.092 0.092
```

A plane-wave DFT calculation with PBEsol was carried out for CrCuW2O8 after structural relaxation.

Cell and atoms, written as CIF:
```
data_CrCuW2O8
_chemical_formula_sum 'Cr2 Cu2 W4 O16'
_cell_length_a 4.920
_cell_length_b 7.267
_cell_length_c 7.267
_cell_angle_alpha 101.98
_cell_angle_beta 90.15
_cell_angle_gamma 90.15
_symmetry_space_group_name_H-M 'P 1'
_symmetry_Int_Tables_number 1
_symmetry_space_group_name_Hall 'P 1'
loop_
_atom_site_label
_atom_site_type_symbol
_atom_site_fract_x
_atom_site_fract_y
_atom_site_fract_z
O1 O 0.108 0.817 0.426
O2 O 0.064 0.592 0.692
O3 O 0.919 0.703 0.065
O4 O 0.436 0.308 0.408
O5 O 0.936 0.408 0.308
O6 O 0.083 0.074 0.195
O7 O 0.581 0.935 0.297
O8 O 0.583 0.195 0.074
O9 O 0.608 0.426 0.817
O10 O 0.892 0.183 0.574
O11 O 0.081 0.297 0.935
O12 O 0.417 0.805 0.926
O13 O 0.392 0.574 0.183
O14 O 0.917 0.926 0.805
O15 O 0.564 0.692 0.592
O16 O 0.419 0.065 0.703
W1 W 0.256 0.336 0.162
W2 W 0.756 0.162 0.336
W3 W 0.744 0.664 0.838
W4 W 0.244 0.838 0.664
Cu1 Cu 0.750 0.665 0.335
Cu2 Cu 0.250 0.335 0.665
Cr1 Cr 0.750 0.176 0.824
Cr2 Cr 0.250 0.824 0.176
```

Looking at formation energy (no corrections) for the records above, in order, we have -20.5; -46.6; -38.0; -73.5; -85.4; -26.2; -16.2; -62.7; -27.8; -37.5; -22.2 eV per formula unit.